Li5VCr3O8 | PBE with a Hubbard U | optimized geometry

Properties
space-group type: P6_3mc
uncorrected energy: -6.59 eV per atom
ΔE to the lowest computed polymorph: 0 meV/atom

Unit cell a=5.996 b=5.996 c=9.932 alpha=90.00 beta=90.00 gamma=120.00
Element x y z (fractional)
Li1 0.000 0.000 0.000
Li2 0.000 0.000 0.500
Li3 0.196 0.392 0.074
Li4 0.196 0.804 0.074
Li5 0.333 0.667 0.289
Li6 0.392 0.196 0.574
Li7 0.608 0.804 0.074
Li8 0.667 0.333 0.789
Li9 0.804 0.196 0.574
Li10 0.804 0.608 0.574
V1 0.333 0.667 0.540
V2 0.667 0.333 0.040
Cr1 0.168 0.336 0.801
Cr2 0.168 0.832 0.801
Cr3 0.336 0.168 0.301
Cr4 0.664 0.832 0.801
Cr5 0.832 0.168 0.301
Cr6 0.832 0.664 0.301
O1 0.000 0.000 0.190
O2 0.000 0.000 0.690
O3 0.015 0.508 0.684
O4 0.160 0.319 0.416
O5 0.160 0.840 0.416
O6 0.319 0.160 0.916
O7 0.333 0.667 0.916
O8 0.492 0.508 0.684
O9 0.492 0.985 0.684
O10 0.508 0.015 0.184
O11 0.508 0.492 0.184
O12 0.667 0.333 0.416
O13 0.681 0.840 0.416
O14 0.840 0.160 0.916
O15 0.840 0.681 0.916
O16 0.985 0.492 0.184